(1)
Below is a relaxed Ba2HgO3 crystal, with properties calculated at the PBE level.

Summary:
E_form (uncorrected) in eV/atom: -1.7677
Energy above the lowest structure with this stoichiometry in eV per atom: 0.071

Unit cell a=3.7829 b=4.5817 c=7.5872 alpha=107.57 beta=104.44 gamma=90.00
Atoms (fractional coordinates):
1 Ba 0.6489 0.6489 0.2979
2 Ba 0.3511 0.3511 0.7021
3 Hg 0.0000 0.0000 0.0000
4 O 0.0000 0.5000 0.0000
5 O 0.8358 0.8358 0.6717
6 O 0.1642 0.1642 0.3283


(2)
Below is a relaxed RbInIO2 crystal, with properties calculated at the PBE level.

Summary:
E_form (uncorrected) in eV/atom: -0.6536
Energy above the lowest structure with this stoichiometry in eV per atom: 0.000

Unit cell a=4.6150 b=4.6150 c=6.0569 alpha=90.00 beta=90.00 gamma=90.00
Last column: magnetic moment on the atom in μB.
Atoms (fractional coordinates):
1 I 0.0000 0.0000 0.5000  -0.01
2 O 0.0000 0.5000 0.0000  0.44
3 O 0.5000 0.0000 0.0000  0.44
4 Rb 0.5000 0.5000 0.5000  0.00
5 In 0.0000 0.0000 0.0000  -0.04


(3)
Below is a relaxed CuReOs2 crystal, with properties calculated at the PBE level.

Summary:
Energy above the lowest structure with this stoichiometry in eV per atom: 0.209
ΔH_f (0 K) in meV per atom: 390

Unit cell a=4.3131 b=4.3131 c=4.3131 alpha=60.00 beta=60.00 gamma=60.00
Atoms (fractional coordinates):
1 Cu 0.0000 0.0000 0.0000
2 Os 0.2500 0.2500 0.2500
3 Os 0.7500 0.7500 0.7500
4 Re 0.5000 0.5000 0.5000


(4)
Below is a relaxed BaSi2Rh crystal, with properties calculated at the PBE level.

Summary:
E_form (uncorrected) in eV/atom: -0.6200

Unit cell a=4.1387 b=4.1387 c=6.4161 alpha=71.25 beta=71.25 gamma=59.96
Atoms (fractional coordinates):
1 Si 0.0488 0.0488 0.8541
2 Si 0.4512 0.4512 0.6459
3 Rh 0.7500 0.7500 0.7500
4 Ba 0.2500 0.2500 0.2500


(5)
Below is a relaxed KTeAsBr2 crystal, with properties calculated at the PBE level.

Summary:
E_form (uncorrected) in eV/atom: -0.3329
Energy above the lowest structure with this stoichiometry in eV per atom: 0.000

Unit cell a=5.9926 b=5.9926 c=5.2964 alpha=90.00 beta=90.00 gamma=90.00
Atoms (fractional coordinates):
1 As 0.0000 0.0000 0.5000
2 Te 0.0000 0.0000 0.0000
3 K 0.5000 0.5000 0.5000
4 Br 0.0000 0.5000 0.0000
5 Br 0.5000 0.0000 0.0000


(6)
Below is a relaxed NaGa2Fe crystal, with properties calculated at the PBE level.

Summary:
ΔH_f (0 K) in meV per atom: 296

Unit cell a=4.4994 b=4.4994 c=4.4994 alpha=60.00 beta=60.00 gamma=60.00
Atoms (fractional coordinates):
1 Na 0.0000 0.0000 0.0000
2 Fe 0.5000 0.5000 0.5000
3 Ga 0.2500 0.2500 0.2500
4 Ga 0.7500 0.7500 0.7500


(7)
Below is a relaxed Pu8Mn5Pt crystal, with properties calculated at the PBE level.

Summary:
ΔH_f (0 K) in meV per atom: 217

Unit cell a=7.1192 b=7.1192 c=7.1192 alpha=111.28 beta=105.91 gamma=111.28
Last column: magnetic moment on the atom in μB.
Atoms (fractional coordinates):
1 Pu 0.1262 0.7787 0.0191  4.81
2 Pu 0.9809 0.1070 0.7596  4.81
3 Pu 0.7581 0.2409 0.3549  -4.88
4 Pu 0.6451 0.4032 0.8860  -4.88
5 Pu 0.4828 0.5968 0.2419  -4.88
6 Pu 0.6526 0.8930 0.8738  4.81
7 Pu 0.2404 0.2213 0.3474  4.81
8 Pu 0.1140 0.7591 0.5172  -4.88
9 Mn 0.0521 0.4549 0.1774  1.74
10 Mn 0.8226 0.8747 0.2775  1.74
11 Mn 0.7225 0.5451 0.5973  1.74
12 Mn 0.5000 0.0000 0.5000  2.46
13 Mn 0.4027 0.1253 0.9479  1.74
14 Pt 0.2500 0.5000 0.7500  -0.09


(8)
Below is a relaxed K3Ce2CdTe6 crystal, with properties calculated at the PBE level.

Summary:
E_form (uncorrected) in eV/atom: -1.1053

Unit cell a=7.9099 b=7.9099 c=8.6316 alpha=98.79 beta=98.79 gamma=119.98
Last column: magnetic moment on the atom in μB.
Atoms (fractional coordinates):
1 K 0.1663 0.8337 0.5000  0.00
2 K 0.8337 0.1663 0.5000  0.00
3 K 0.5000 0.5000 0.5000  0.00
4 Ce 0.3333 0.6667 0.0000  0.59
5 Ce 0.6667 0.3333 0.0000  0.59
6 Cd 0.0000 0.0000 0.0000  0.00
7 Te 0.9303 0.5986 0.7909  -0.02
8 Te 0.7377 0.7377 0.2094  -0.02
9 Te 0.0697 0.4014 0.2091  -0.02
10 Te 0.5986 0.9303 0.7909  -0.02
11 Te 0.2623 0.2623 0.7906  -0.02
12 Te 0.4014 0.0697 0.2091  -0.02


| no. | total energy (eV per atom) |
| --- | --- |
| 1 | -4.938 |
| 2 | -3.688 |
| 3 | -9.361 |
| 4 | -5.650 |
| 5 | -2.780 |
| 6 | -3.663 |
| 7 | -11.679 |
| 8 | -4.016 |